Entry 1:
{
  "formula": "LiHfCuBi",
  "functional": "PBE-GGA",
  "state": "relaxed",
  "de_polymorph_kcal_per_mol_atoms": 3.36,
  "space_group": "F-43m (216)",
  "cell": [[3.620, -2.583, 1.826], [-0.883, -4.248, 2.071], [1.385, -4.063, -2.164]],
  "species": ["Bi", "Cu", "Hf", "Li"],
  "frac_coords": [[0.000, 0.000, 0.000], [0.750, 0.750, 0.750], [0.250, 0.250, 0.250], [0.500, 0.500, 0.500]]
}

=====

Entry 2:
{
  "formula": "PrErAg",
  "functional": "PBE-GGA",
  "state": "relaxed",
  "formation_energy_ev_per_atom": 0.553,
  "space_group": "F-43m (216)",
  "cell": [[4.447, 2.218, 0.819], [0.913, 2.261, 4.407], [3.270, -2.036, 3.245]],
  "species": ["Ag", "Er", "Pr"],
  "frac_coords": [[0.250, 0.250, 0.250], [0.750, 0.750, 0.750], [0.000, 0.000, 0.000]]
}

=====

| no. | theoretical density (g/cm³) |
| --- | --- |
| 1 | 9.68 |
| 2 | 7.65 |